1) The following is a DFT calculation (PBE) of an optimized crystal structure of Ta5As4.

```
data_Ta5As4
_chemical_formula_sum 'Ta5 As4'
_cell_length_a 7.220
_cell_length_b 7.220
_cell_length_c 7.220
_cell_angle_alpha 93.21
_cell_angle_beta 93.21
_cell_angle_gamma 152.61
_symmetry_space_group_name_H-M 'P 1'
_symmetry_Int_Tables_number 1
loop_
_symmetry_equiv_pos_as_xyz
'x,y,z'
loop_
_atom_site_label
_atom_site_fract_x
_atom_site_fract_y
_atom_site_fract_z
As1 0.714 0.052 0.766
As2 0.948 0.714 0.662
As3 0.286 0.948 0.234
As4 0.052 0.286 0.338
Ta1 0.632 0.305 0.937
Ta2 0.695 0.632 0.326
Ta3 0.368 0.695 0.063
Ta4 0.000 0.000 0.000
Ta5 0.305 0.368 0.674
```

## Properties
total moment = 0.0 μB per formula unit

---

2) The following is a DFT calculation (PBE) of an optimized crystal structure of Ta5As4.

```
data_Ta5As4
_chemical_formula_sum 'Ta10 As8'
_cell_length_a 8.082
_cell_length_b 8.082
_cell_length_c 5.356
_cell_angle_alpha 90.00
_cell_angle_beta 90.00
_cell_angle_gamma 120.00
_symmetry_space_group_name_H-M 'P 1'
_symmetry_Int_Tables_number 1
loop_
_symmetry_equiv_pos_as_xyz
'x,y,z'
loop_
_atom_site_label
_atom_site_fract_x
_atom_site_fract_y
_atom_site_fract_z
Ta1 0.667 0.333 0.000
Ta2 0.000 0.710 0.250
Ta3 0.000 0.290 0.750
Ta4 0.333 0.667 0.000
Ta5 0.290 0.290 0.250
Ta6 0.710 0.710 0.750
Ta7 0.667 0.333 0.500
Ta8 0.333 0.667 0.500
Ta9 0.710 0.000 0.250
Ta10 0.290 0.000 0.750
As1 0.000 0.000 0.500
As2 0.616 0.616 0.250
As3 0.384 0.384 0.750
As4 0.616 0.000 0.750
As5 0.000 0.616 0.750
As6 0.384 0.000 0.250
As7 0.000 0.384 0.250
As8 0.000 0.000 0.000
```

## Properties
total moment = 0.0 μB per formula unit

---

We find 1) to be the most stable, with the next structure 0.401 eV/atom higher.

---

1) The following is a DFT calculation (PBE) of an optimized crystal structure of TaTcAs2.

```
data_TaTcAs2
_chemical_formula_sum 'Ta1 Tc1 As2'
_cell_length_a 3.927
_cell_length_b 3.117
_cell_length_c 5.465
_cell_angle_alpha 86.35
_cell_angle_beta 90.00
_cell_angle_gamma 90.00
_symmetry_space_group_name_H-M 'P 1'
_symmetry_Int_Tables_number 1
loop_
_symmetry_equiv_pos_as_xyz
'x,y,z'
loop_
_atom_site_label
_atom_site_fract_x
_atom_site_fract_y
_atom_site_fract_z
As1 0.000 0.870 0.006
As2 0.000 0.630 0.494
Ta1 0.500 0.250 0.250
Tc1 0.500 0.750 0.750
```

## Properties
total moment = 0.0 μB per formula unit

---

2) The following is a DFT calculation (PBE) of an optimized crystal structure of TaTcAs2.

```
data_TaTcAs2
_chemical_formula_sum 'Ta1 Tc1 As2'
_cell_length_a 3.064
_cell_length_b 3.064
_cell_length_c 7.933
_cell_angle_alpha 90.00
_cell_angle_beta 90.00
_cell_angle_gamma 90.00
_symmetry_space_group_name_H-M 'P 1'
_symmetry_Int_Tables_number 1
loop_
_symmetry_equiv_pos_as_xyz
'x,y,z'
loop_
_atom_site_label
_atom_site_fract_x
_atom_site_fract_y
_atom_site_fract_z
As1 0.000 0.000 0.923
As2 0.500 0.500 0.298
Tc1 0.500 0.500 0.752
Ta1 0.000 0.000 0.528
```

## Properties
total moment = 0.0 μB per formula unit

---

We find 2) to be the most stable, with the next structure 0.249 eV/atom higher.

---

1) The following is a DFT calculation (PBE) of an optimized crystal structure of TaTcAs2.

```
data_TaTcAs2
_chemical_formula_sum 'Ta1 Tc1 As2'
_cell_length_a 8.242
_cell_length_b 8.242
_cell_length_c 8.242
_cell_angle_alpha 21.34
_cell_angle_beta 21.34
_cell_angle_gamma 21.34
_symmetry_space_group_name_H-M 'P 1'
_symmetry_Int_Tables_number 1
loop_
_symmetry_equiv_pos_as_xyz
'x,y,z'
loop_
_atom_site_label
_atom_site_fract_x
_atom_site_fract_y
_atom_site_fract_z
Tc1 0.750 0.750 0.750
As1 0.006 0.006 0.006
As2 0.494 0.494 0.494
Ta1 0.250 0.250 0.250
```

## Properties
total moment = 0.0 μB per formula unit

---

2) The following is a DFT calculation (PBE) of an optimized crystal structure of TaTcAs2.

```
data_TaTcAs2
_chemical_formula_sum 'Ta1 Tc1 As2'
_cell_length_a 3.006
_cell_length_b 3.006
_cell_length_c 8.092
_cell_angle_alpha 90.00
_cell_angle_beta 90.00
_cell_angle_gamma 114.86
_symmetry_space_group_name_H-M 'P 1'
_symmetry_Int_Tables_number 1
loop_
_symmetry_equiv_pos_as_xyz
'x,y,z'
loop_
_atom_site_label
_atom_site_fract_x
_atom_site_fract_y
_atom_site_fract_z
Ta1 0.500 0.500 0.250
As1 0.000 0.000 0.509
As2 0.000 0.000 0.991
Tc1 0.500 0.500 0.750
```

## Properties
total moment = 0.0 μB per formula unit

---

3) The following is a DFT calculation (PBE) of an optimized crystal structure of TaTcAs2.

```
data_TaTcAs2
_chemical_formula_sum 'Ta2 Tc2 As4'
_cell_length_a 3.967
_cell_length_b 3.967
_cell_length_c 9.361
_cell_angle_alpha 77.77
_cell_angle_beta 77.77
_cell_angle_gamma 90.00
_symmetry_space_group_name_H-M 'P 1'
_symmetry_Int_Tables_number 1
loop_
_symmetry_equiv_pos_as_xyz
'x,y,z'
loop_
_atom_site_label
_atom_site_fract_x
_atom_site_fract_y
_atom_site_fract_z
Tc1 0.500 0.500 0.000
Tc2 0.250 0.750 0.500
As1 0.141 0.625 0.250
As2 0.375 0.391 0.750
As3 0.875 0.859 0.750
As4 0.609 0.125 0.250
Ta1 0.000 0.000 0.000
Ta2 0.750 0.250 0.500
```

## Properties
total moment = 0.0 μB per formula unit

---

We find 1) to be the most stable, with the next structure 0.167 eV/atom higher.

---

1) The following is a DFT calculation (PBE) of an optimized crystal structure of TaTcAs2.

```
data_TaTcAs2
_chemical_formula_sum 'Ta1 Tc1 As2'
_cell_length_a 4.270
_cell_length_b 4.270
_cell_length_c 5.457
_cell_angle_alpha 78.71
_cell_angle_beta 78.71
_cell_angle_gamma 42.15
_symmetry_space_group_name_H-M 'P 1'
_symmetry_Int_Tables_number 1
loop_
_symmetry_equiv_pos_as_xyz
'x,y,z'
loop_
_atom_site_label
_atom_site_fract_x
_atom_site_fract_y
_atom_site_fract_z
As1 0.496 0.496 0.518
As2 0.004 0.004 0.982
Ta1 0.250 0.250 0.250
Tc1 0.750 0.750 0.750
```

## Properties
total moment = 0.0 μB per formula unit

---

2) The following is a DFT calculation (PBE) of an optimized crystal structure of TaTcAs2.

```
data_TaTcAs2
_chemical_formula_sum 'Ta1 Tc1 As2'
_cell_length_a 3.305
_cell_length_b 3.305
_cell_length_c 5.951
_cell_angle_alpha 90.00
_cell_angle_beta 90.00
_cell_angle_gamma 90.00
_symmetry_space_group_name_H-M 'P 1'
_symmetry_Int_Tables_number 1
loop_
_symmetry_equiv_pos_as_xyz
'x,y,z'
loop_
_atom_site_label
_atom_site_fract_x
_atom_site_fract_y
_atom_site_fract_z
Tc1 0.500 0.500 0.785
As1 0.500 0.500 0.279
As2 0.000 0.000 0.971
Ta1 0.000 0.000 0.466
```

## Properties
total moment = 0.0 μB per formula unit

---

3) The following is a DFT calculation (PBE) of an optimized crystal structure of TaTcAs2.

```
data_TaTcAs2
_chemical_formula_sum 'Ta1 Tc1 As2'
_cell_length_a 6.188
_cell_length_b 6.188
_cell_length_c 6.188
_cell_angle_alpha 147.58
_cell_angle_beta 148.02
_cell_angle_gamma 46.19
_symmetry_space_group_name_H-M 'P 1'
_symmetry_Int_Tables_number 1
loop_
_symmetry_equiv_pos_as_xyz
'x,y,z'
loop_
_atom_site_label
_atom_site_fract_x
_atom_site_fract_y
_atom_site_fract_z
Ta1 0.541 0.541 0.000
As1 0.956 0.956 0.000
As2 0.215 0.715 0.500
Tc1 0.789 0.289 0.500
```

## Properties
total moment = 0.6 μB per formula unit

---

We find 3) to be the most stable, with the next structure 0.037 eV/atom higher.

---

1) The following is a DFT calculation (PBE) of an optimized crystal structure of TaTi2As2.

```
data_TaTi2As2
_chemical_formula_sum 'Ta2 Ti4 As4'
_cell_length_a 3.588
_cell_length_b 6.582
_cell_length_c 7.452
_cell_angle_alpha 90.00
_cell_angle_beta 103.93
_cell_angle_gamma 90.00
_symmetry_space_group_name_H-M 'P 1'
_symmetry_Int_Tables_number 1
loop_
_symmetry_equiv_pos_as_xyz
'x,y,z'
loop_
_atom_site_label
_atom_site_fract_x
_atom_site_fract_y
_atom_site_fract_z
As1 0.546 0.984 0.093
As2 0.205 0.335 0.410
As3 0.795 0.835 0.590
As4 0.454 0.484 0.907
Ta1 0.367 0.105 0.735
Ta2 0.633 0.605 0.265
Ti1 0.174 0.944 0.348
Ti2 0.826 0.444 0.652
Ti3 0.031 0.267 0.063
Ti4 0.969 0.767 0.937
```

## Properties
total moment = 0.0 μB per formula unit

---

2) The following is a DFT calculation (PBE) of an optimized crystal structure of TaTi2As2.

```
data_TaTi2As2
_chemical_formula_sum 'Ta2 Ti4 As4'
_cell_length_a 6.907
_cell_length_b 6.907
_cell_length_c 3.423
_cell_angle_alpha 90.00
_cell_angle_beta 90.00
_cell_angle_gamma 90.00
_symmetry_space_group_name_H-M 'P 1'
_symmetry_Int_Tables_number 1
loop_
_symmetry_equiv_pos_as_xyz
'x,y,z'
loop_
_atom_site_label
_atom_site_fract_x
_atom_site_fract_y
_atom_site_fract_z
As1 0.854 0.646 0.000
As2 0.146 0.354 0.000
As3 0.646 0.146 0.000
As4 0.354 0.854 0.000
Ta1 0.000 0.000 0.000
Ta2 0.500 0.500 0.000
Ti1 0.152 0.652 0.500
Ti2 0.652 0.848 0.500
Ti3 0.348 0.152 0.500
Ti4 0.848 0.348 0.500
```

## Properties
total moment = 0.0 μB per formula unit

---

We find 1) to be the most stable, with the next structure 0.031 eV/atom higher.

---

1) The following is a DFT calculation (PBE) of an optimized crystal structure of Ta2TlAs.

```
data_Ta2TlAs
_chemical_formula_sum 'Ta2 Tl1 As1'
_cell_length_a 3.319
_cell_length_b 4.993
_cell_length_c 5.627
_cell_angle_alpha 55.90
_cell_angle_beta 90.00
_cell_angle_gamma 90.00
_symmetry_space_group_name_H-M 'P 1'
_symmetry_Int_Tables_number 1
loop_
_symmetry_equiv_pos_as_xyz
'x,y,z'
loop_
_atom_site_label
_atom_site_fract_x
_atom_site_fract_y
_atom_site_fract_z
Tl1 0.500 0.500 0.500
As1 0.000 0.000 0.500
Ta1 0.500 0.500 0.000
Ta2 0.000 0.000 0.000
```

## Properties
total moment = 0.0 μB per formula unit

---

2) The following is a DFT calculation (PBE) of an optimized crystal structure of Ta2TlAs.

```
data_Ta2TlAs
_chemical_formula_sum 'Ta2 Tl1 As1'
_cell_length_a 3.432
_cell_length_b 4.942
_cell_length_c 4.536
_cell_angle_alpha 90.00
_cell_angle_beta 90.00
_cell_angle_gamma 90.00
_symmetry_space_group_name_H-M 'P 1'
_symmetry_Int_Tables_number 1
loop_
_symmetry_equiv_pos_as_xyz
'x,y,z'
loop_
_atom_site_label
_atom_site_fract_x
_atom_site_fract_y
_atom_site_fract_z
Ta1 0.000 0.000 0.000
Ta2 0.500 0.500 0.000
As1 0.000 0.500 0.500
Tl1 0.500 0.000 0.500
```

## Properties
total moment = 0.0 μB per formula unit

---

We find 1) to be the most stable, with the next structure 0.016 eV/atom higher.